No. 1
A plane-wave DFT calculation with PBE was carried out for a geometry-optimized AcZn4Ni structure.

a b c (Å): 5.420 5.420 5.420
angles (deg): 60.00 60.00 60.00
Element x y z (fractional)
Ac (0.000, 0.000, 0.000)
Zn (0.133, 0.622, 0.622)
Zn (0.622, 0.133, 0.622)
Zn (0.622, 0.622, 0.133)
Zn (0.622, 0.622, 0.622)
Ni (0.250, 0.250, 0.250)

* VASP energy: -2.539 eV per atom
* D(E_F): 3.6 states/eV per cell
* ΔE_f: -0.041 eV/atom
* offset from the most stable computed form: 0.216 eV/atom
* size of the total moment: 0.000 μB per atom

=====

No. 2
A plane-wave DFT calculation with PBE was carried out for a geometry-optimized Ac2Zn5Ni structure.

a b c (Å): 8.628 8.628 9.244
angles (deg): 90.00 90.00 149.63
Element x y z (fractional)
Ac (0.000, 0.000, 0.000)
Ac (0.000, 0.000, 0.500)
Ac (0.195, 0.805, 0.750)
Ac (0.805, 0.195, 0.250)
Zn (0.186, 0.814, 0.111)
Zn (0.186, 0.814, 0.389)
Zn (0.350, 0.650, 0.016)
Zn (0.350, 0.650, 0.484)
Zn (0.411, 0.589, 0.750)
Zn (0.589, 0.411, 0.250)
Zn (0.650, 0.350, 0.516)
Zn (0.650, 0.350, 0.984)
Zn (0.814, 0.186, 0.611)
Zn (0.814, 0.186, 0.889)
Ni (0.438, 0.562, 0.250)
Ni (0.562, 0.438, 0.750)

* VASP energy: -2.812 eV per atom
* D(E_F): 11.5 states/eV per cell
* ΔE_f: -0.266 eV/atom
* size of the total moment: 0.000 μB per atom

=====

No. 3
A plane-wave DFT calculation with PBE was carried out for a geometry-optimized Ac3ZnNi2 structure.

a b c (Å): 7.712 7.712 7.712
angles (deg): 63.00 63.00 63.00
Element x y z (fractional)
Ac (0.036, 0.750, 0.464)
Ac (0.250, 0.536, 0.964)
Ac (0.464, 0.036, 0.750)
Ac (0.536, 0.964, 0.250)
Ac (0.750, 0.464, 0.036)
Ac (0.964, 0.250, 0.536)
Zn (0.000, 0.000, 0.000)
Zn (0.500, 0.500, 0.500)
Ni (0.135, 0.135, 0.135)
Ni (0.365, 0.365, 0.365)
Ni (0.635, 0.635, 0.635)
Ni (0.865, 0.865, 0.865)

* VASP energy: -4.383 eV per atom
* D(E_F): 11.3 states/eV per cell
* ΔE_f: -0.189 eV/atom
* offset from the most stable computed form: 0.033 eV/atom
* size of the total moment: 0.000 μB per atom

=====

No. 4
A plane-wave DFT calculation with PBE was carried out for a geometry-optimized Ac3ZnNi2 structure.

a b c (Å): 6.272 11.912 9.580
angles (deg): 90.00 111.07 90.00
Element x y z (fractional)
Ac (0.164, 0.231, 0.327)
Ac (0.164, 0.269, 0.827)
Ac (0.230, 0.591, 0.986)
Ac (0.230, 0.909, 0.486)
Ac (0.308, 0.550, 0.601)
Ac (0.308, 0.950, 0.101)
Ac (0.692, 0.050, 0.899)
Ac (0.692, 0.450, 0.399)
Ac (0.770, 0.091, 0.514)
Ac (0.770, 0.409, 0.014)
Ac (0.836, 0.731, 0.173)
Ac (0.836, 0.769, 0.673)
Zn (0.414, 0.697, 0.327)
Zn (0.414, 0.803, 0.827)
Zn (0.586, 0.197, 0.173)
Zn (0.586, 0.303, 0.673)
Ni (0.184, 0.509, 0.275)
Ni (0.184, 0.991, 0.775)
Ni (0.338, 0.134, 0.629)
Ni (0.338, 0.366, 0.129)
Ni (0.662, 0.634, 0.871)
Ni (0.662, 0.866, 0.371)
Ni (0.816, 0.009, 0.225)
Ni (0.816, 0.491, 0.725)

* VASP energy: -4.415 eV per atom
* D(E_F): 25.1 states/eV per cell
* ΔE_f: -0.222 eV/atom
* offset from the most stable computed form: 0.000 eV/atom
* size of the total moment: 0.000 μB per atom

=====

No. 5
A plane-wave DFT calculation with PBE was carried out for a geometry-optimized Ac2ZnNi structure.

a b c (Å): 3.785 3.785 7.680
angles (deg): 90.00 90.00 90.00
Element x y z (fractional)
Ac (0.000, 0.000, 0.232)
Ac (0.000, 0.000, 0.768)
Zn (0.500, 0.500, 0.500)
Ni (0.500, 0.500, 0.000)

* VASP energy: -4.000 eV per atom
* D(E_F): 3.4 states/eV per cell
* ΔE_f: -0.182 eV/atom
* size of the total moment: 0.000 μB per atom

=====

No. 6
A plane-wave DFT calculation with PBE was carried out for a geometry-optimized AcZrNi2 structure.

a b c (Å): 3.407 3.407 7.055
angles (deg): 90.00 90.00 90.00
Element x y z (fractional)
Ac (0.000, 0.000, 0.000)
Zr (0.000, 0.000, 0.500)
Ni (0.500, 0.500, 0.313)
Ni (0.500, 0.500, 0.687)

* VASP energy: -6.264 eV per atom
* D(E_F): 4.5 states/eV per cell
* ΔE_f: -0.209 eV/atom
* size of the total moment: 0.000 μB per atom

=====

No. 7
A plane-wave DFT calculation with PBE was carried out for a geometry-optimized Ac3Np structure.

a b c (Å): 7.738 7.738 6.203
angles (deg): 90.00 90.00 120.00
Element x y z (fractional)
Ac (0.171, 0.341, 0.250)
Ac (0.171, 0.829, 0.250)
Ac (0.341, 0.171, 0.750)
Ac (0.659, 0.829, 0.250)
Ac (0.829, 0.171, 0.750)
Ac (0.829, 0.659, 0.750)
Np (0.333, 0.667, 0.750)
Np (0.667, 0.333, 0.250)

* VASP energy: -5.843 eV per atom
* D(E_F): 37.7 states/eV per cell
* ΔE_f: 0.473 eV/atom
* size of the total moment: 1.383 μB per atom

=====

No. 8
A plane-wave DFT calculation with PBE was carried out for a geometry-optimized AcNp4 structure.

a b c (Å): 5.616 5.616 5.616
angles (deg): 90.00 90.00 90.00
Element x y z (fractional)
Ac (0.000, 0.000, 0.000)
Np (0.000, 0.000, 0.500)
Np (0.000, 0.500, 0.000)
Np (0.500, 0.000, 0.000)
Np (0.500, 0.500, 0.500)

* VASP energy: -9.061 eV per atom
* D(E_F): 28.0 states/eV per cell
* ΔE_f: 2.113 eV/atom
* size of the total moment: 3.835 μB per atom

=====

No. 9
A plane-wave DFT calculation with PBE was carried out for a geometry-optimized Ac2NpO6 structure.

a b c (Å): 5.390 5.390 11.238
angles (deg): 90.00 90.00 90.00
Element x y z (fractional)
Ac (0.000, 0.000, 0.167)
Ac (0.000, 0.000, 0.833)
Ac (0.500, 0.500, 0.333)
Ac (0.500, 0.500, 0.667)
Np (0.000, 0.000, 0.500)
Np (0.500, 0.500, 0.000)
O (0.177, 0.177, 0.356)
O (0.177, 0.177, 0.644)
O (0.228, 0.228, 0.000)
O (0.272, 0.728, 0.500)
O (0.323, 0.677, 0.144)
O (0.323, 0.677, 0.856)
O (0.677, 0.323, 0.144)
O (0.677, 0.323, 0.856)
O (0.728, 0.272, 0.500)
O (0.772, 0.772, 0.000)
O (0.823, 0.823, 0.356)
O (0.823, 0.823, 0.644)

* VASP energy: -8.842 eV per atom
* E_form (uncorrected): -73.5 kcal/mol of atoms
* offset from the most stable computed form: 0.028 eV/atom
* size of the total moment: 0.111 μB per atom

=====

No. 10
A plane-wave DFT calculation with PBE was carried out for a geometry-optimized AcNp2O7 structure.

a b c (Å): 10.875 10.875 10.875
angles (deg): 20.64 20.64 20.64
Element x y z (fractional)
Ac (0.000, 0.000, 0.000)
Np (0.436, 0.436, 0.436)
Np (0.564, 0.564, 0.564)
O (0.083, 0.083, 0.083)
O (0.219, 0.219, 0.219)
O (0.368, 0.368, 0.368)
O (0.500, 0.500, 0.500)
O (0.632, 0.632, 0.632)
O (0.781, 0.781, 0.781)
O (0.917, 0.917, 0.917)

* VASP energy: -9.399 eV per atom
* D(E_F): 11.4 states/eV per cell
* E_form (uncorrected): -67.5 kcal/mol of atoms
* offset from the most stable computed form: 0.000 eV/atom
* size of the total moment: 0.300 μB per atom

=====

No. 11
A plane-wave DFT calculation with PBE was carried out for a geometry-optimized Ac3NpO7 structure.

a b c (Å): 7.068 7.068 8.278
angles (deg): 90.00 90.00 109.96
Element x y z (fractional)
Ac (0.000, 0.000, 0.000)
Ac (0.000, 0.000, 0.500)
Ac (0.030, 0.500, 0.750)
Ac (0.500, 0.030, 0.250)
Ac (0.500, 0.970, 0.750)
Ac (0.970, 0.500, 0.250)
Np (0.500, 0.500, 0.000)
Np (0.500, 0.500, 0.500)
O (0.129, 0.871, 0.250)
O (0.133, 0.867, 0.750)
O (0.183, 0.425, 0.026)
O (0.183, 0.425, 0.474)
O (0.425, 0.183, 0.526)
O (0.425, 0.183, 0.974)
O (0.430, 0.570, 0.750)
O (0.570, 0.430, 0.250)
O (0.575, 0.817, 0.026)
O (0.575, 0.817, 0.474)
O (0.817, 0.575, 0.526)
O (0.817, 0.575, 0.974)
O (0.867, 0.133, 0.250)
O (0.871, 0.129, 0.750)

* VASP energy: -8.796 eV per atom
* D(E_F): 11.5 states/eV per cell
* E_form (uncorrected): -77.1 kcal/mol of atoms
* size of the total moment: 0.182 μB per atom

=====

No. 12
A plane-wave DFT calculation with PBE was carried out for a geometry-optimized AcNp2O7 structure.

a b c (Å): 6.298 6.298 4.121
angles (deg): 90.00 90.00 113.67
Element x y z (fractional)
Ac (0.000, 0.000, 0.000)
Np (0.304, 0.696, 0.500)
Np (0.696, 0.304, 0.500)
O (0.051, 0.318, 0.500)
O (0.277, 0.723, 0.000)
O (0.318, 0.051, 0.500)
O (0.500, 0.500, 0.500)
O (0.682, 0.949, 0.500)
O (0.723, 0.277, 0.000)
O (0.949, 0.682, 0.500)

* VASP energy: -9.382 eV per atom
* D(E_F): 6.9 states/eV per cell
* E_form (uncorrected): -67.2 kcal/mol of atoms
* offset from the most stable computed form: 0.017 eV/atom
* size of the total moment: 0.300 μB per atom

=====

| no. | volume (Å³/f.u.) |
| --- | --- |
| 1 | 113 |
| 2 | 174 |
| 3 | 173 |
| 4 | 167 |
| 5 | 110 |
| 6 | 82 |
| 7 | 161 |
| 8 | 177 |
| 9 | 163 |
| 10 | 140 |
| 11 | 194 |
| 12 | 150 |